Record 1
This record from Alexandria via LeMat-Bulk describes an optimized crystal structure of Tb5Tm4Mg2. The functional is PBE.

```
11
Lattice="-1.708 4.383 11.427 1.708 -4.383 11.427 1.708 4.383 -11.427" Properties=species:S:1:pos:R:3 pbc="T T T"
Tb 0.000 0.000 0.000
Tb 1.708 1.748 -3.235
Tb 1.708 1.748 3.235
Tb 0.000 2.635 8.192
Tb 0.000 2.635 14.662
Tm 1.708 0.000 6.148
Tm 1.708 2.805 0.000
Tm 0.000 1.578 11.427
Tm 0.000 4.383 5.278
Mg 1.708 0.000 9.206
Mg 0.000 4.383 2.221
```

## Properties
- D(E_F) (states/eV/cell) = 17.688
- excess energy over the best structure of this formula in the dataset (meV per atom) = 100
- calculated total energy (eV/f.u.) = -41.66

---

Record 2
This record from Alexandria via LeMat-Bulk describes an optimized crystal structure of In2Ni2I. The functional is PBE.

```
10
Lattice="7.384 0.000 0.000 0.000 7.384 0.000 0.000 0.000 3.586" Properties=species:S:1:pos:R:3 pbc="T T T"
In 1.124 2.568 0.000
In 2.568 6.260 0.000
In 4.816 1.124 0.000
In 6.260 4.816 0.000
Ni 0.990 4.682 1.793
Ni 2.702 0.990 1.793
Ni 4.682 6.394 1.793
Ni 6.394 2.702 1.793
I 0.000 0.000 1.793
I 3.692 3.692 1.793
```

## Properties
- uncorrected formation energy (meV per atom) = 169
- D(E_F) (states/eV/cell) = 6.818
- calculated total energy (eV/f.u.) = -17.74

---

Record 3
This record from Alexandria via LeMat-Bulk describes an optimized crystal structure of TlIn3Pd. The functional is PBE.

```
5
Lattice="5.224 0.000 0.000 0.000 5.224 0.000 0.000 0.000 5.224" Properties=species:S:1:pos:R:3 pbc="T T T"
Tl 0.000 0.000 0.000
In 0.000 2.612 2.612
In 2.612 0.000 2.612
In 2.612 2.612 0.000
Pd 2.612 2.612 2.612
```

## Properties
- D(E_F) (states/eV/cell) = 3.427
- excess energy over the best structure of this formula in the dataset (meV per atom) = 0
- calculated total energy (eV/f.u.) = -16.27

---

Record 4
This record from Alexandria via LeMat-Bulk describes an optimized crystal structure of PrAg2Sn. The functional is PBE.

```
4
Lattice="4.658 0.000 0.000 0.000 4.658 0.000 0.000 0.000 4.470" Properties=species:S:1:pos:R:3 pbc="T T T"
Pr 0.000 0.000 0.000
Ag 0.000 2.329 2.235
Ag 2.329 0.000 2.235
Sn 2.329 2.329 0.000
```

## Properties
- D(E_F) (states/eV/cell) = 2.511
- calculated total energy (eV/f.u.) = -15.58